# As2HPdCl

An optimized crystal structure of As2HPdCl (PBE-GGA, Alexandria via LeMat-Bulk).

The structure in extended XYZ format:
```
5
Lattice="5.135 0.000 0.000 0.000 3.212 0.000 0.000 0.000 5.135" Properties=species:S:1:pos:R:3 pbc="T T T"
As 2.567 0.000 0.000
Cl 2.567 1.606 2.567
As 0.000 0.000 2.567
Pd 0.000 0.000 0.000
H 0.000 1.606 0.000
```

Calculated values
VASP energy: -18.6 eV per cell
N(E_F): 2.736 states/eV/f.u.
ρ: 5.7 g/cm3